Entry 1:
Material: CaNdSc2Se4
Method: DFT, GGA-PBE
State: optimized geometry

The structure belongs to space group P2/m (No. 10); the cell edges are 7.014, 4.007 and 7.018 Å and the angles 90.00°, 108.98° and 90.00°. The inequivalent atoms are Ca at (0.000, 0.000, 0.000), Nd at (0.500, 0.500, 0.000), Sc at (0.000, 0.500, 0.500), Sc at (0.500, 0.000, 0.500), Se at (0.237, 0.000, 0.726) and Se at (0.253, 0.500, 0.271).

The uncorrected formation energy is -1734 meV per atom. The volume is 186.5 Å³ per cell.

***

Entry 2:
Material: La2TiGe2
Method: DFT, GGA-PBE
State: optimized geometry

The structure belongs to space group P4/mbm (No. 127); the cell edges are 7.417, 7.417 and 4.568 Å and the angles 90.00°, 90.00° and 90.00°. The inequivalent atoms are La at (0.178, 0.322, 0.000), Ti at (0.000, 0.000, 0.500) and Ge at (0.125, 0.625, 0.500).

The volume is 251.3 Å³ per cell. Its formation energy from the elements is -0.617 eV per atom.

***

Look up the volume of the first one. 186.5 Å³ per cell